## w
Computed, not measured: a crystal of La2Hg2Pb relaxed with PBEsol at the meta-GGA SCAN level of DFT.

Structure (CIF):
```
data_La2Hg2Pb
_chemical_formula_sum 'La4 Hg4 Pb2'
_cell_length_a 8.489
_cell_length_b 8.489
_cell_length_c 3.972
_cell_angle_alpha 90.00
_cell_angle_beta 90.00
_cell_angle_gamma 90.00
_space_group_name_H-M_alt 'P 4/m b m'
_space_group_IT_number 127
_space_group_name_Hall '-P 4 2ab'
loop_
_atom_site_label
_atom_site_type_symbol
_atom_site_fract_x
_atom_site_fract_y
_atom_site_fract_z
_atom_site_occupancy
La1 La 0.174 0.326 0.000 1
Hg1 Hg 0.124 0.624 0.500 1
Pb1 Pb 0.000 0.000 0.500 1
```

Calculated values
Volume ... 286.2 Å³/cell
Magnetic moment ... 0.00 μB per cell

---

## x
Computed, not measured: a crystal of La2Hg2Pb relaxed with PBEsol at the meta-GGA SCAN level of DFT.

Structure (CIF):
```
data_La2Hg2Pb
_chemical_formula_sum 'La4 Hg4 Pb2'
_cell_length_a 4.242
_cell_length_b 4.242
_cell_length_c 16.345
_cell_angle_alpha 90.00
_cell_angle_beta 90.00
_cell_angle_gamma 90.00
_space_group_name_H-M_alt 'I 4/m m m'
_space_group_IT_number 139
_space_group_name_Hall '-I 4 2'
loop_
_atom_site_label
_atom_site_type_symbol
_atom_site_fract_x
_atom_site_fract_y
_atom_site_fract_z
_atom_site_occupancy
La1 La 0.000 0.000 0.097 1
Hg1 Hg 0.000 0.500 0.250 1
Pb1 Pb 0.000 0.000 0.500 1
```

Calculated values
Volume ... 294.1 Å³/cell
Magnetic moment ... 0.00 μB per cell

---

It comes down to w, which is 195 meV per atom more stable than the next structure.

---

## w
Computed, not measured: a crystal of La2ReHg relaxed with PBEsol at the meta-GGA SCAN level of DFT.

Structure (CIF):
```
data_La2ReHg
_chemical_formula_sum 'La8 Re4 Hg4'
_cell_length_a 7.083
_cell_length_b 7.083
_cell_length_c 7.083
_cell_angle_alpha 90.00
_cell_angle_beta 90.00
_cell_angle_gamma 90.00
_space_group_name_H-M_alt 'F -4 3 m'
_space_group_IT_number 216
_space_group_name_Hall 'F -4 2 3'
loop_
_atom_site_label
_atom_site_type_symbol
_atom_site_fract_x
_atom_site_fract_y
_atom_site_fract_z
_atom_site_occupancy
La1 La 0.000 0.000 0.000 1
La2 La 0.250 0.250 0.250 1
Re1 Re 0.250 0.250 0.750 1
Hg1 Hg 0.000 0.000 0.500 1
```

Calculated values
Volume ... 355.3 Å³/cell
Magnetic moment ... 0.00 μB per cell

---

## x
Computed, not measured: a crystal of La2ReHg relaxed with PBEsol at the meta-GGA SCAN level of DFT.

Structure (CIF):
```
data_La2ReHg
_chemical_formula_sum 'La2 Re1 Hg1'
_cell_length_a 3.651
_cell_length_b 3.651
_cell_length_c 6.837
_cell_angle_alpha 90.00
_cell_angle_beta 90.00
_cell_angle_gamma 90.00
_space_group_name_H-M_alt 'P 4 m m'
_space_group_IT_number 99
_space_group_name_Hall 'P 4 -2'
loop_
_atom_site_label
_atom_site_type_symbol
_atom_site_fract_x
_atom_site_fract_y
_atom_site_fract_z
_atom_site_occupancy
La1 La 0.000 0.000 0.000 1
La2 La 0.500 0.500 0.295 1
Re1 Re 0.000 0.000 0.535 1
Hg1 Hg 0.500 0.500 0.738 1
```

Calculated values
Volume ... 91.1 Å³/cell
Magnetic moment ... 0.00 μB per cell

---

It comes down to w, which is 47 meV per atom more stable than the next structure.

---

## w
Computed, not measured: a crystal of LaScHg2 relaxed with PBEsol at the meta-GGA SCAN level of DFT.

Structure (CIF):
```
data_LaScHg2
_chemical_formula_sum 'La4 Sc4 Hg8'
_cell_length_a 7.355
_cell_length_b 7.355
_cell_length_c 7.355
_cell_angle_alpha 90.00
_cell_angle_beta 90.00
_cell_angle_gamma 90.00
_space_group_name_H-M_alt 'F m -3 m'
_space_group_IT_number 225
_space_group_name_Hall '-F 4 2 3'
loop_
_atom_site_label
_atom_site_type_symbol
_atom_site_fract_x
_atom_site_fract_y
_atom_site_fract_z
_atom_site_occupancy
La1 La 0.000 0.000 0.000 1
Sc1 Sc 0.000 0.000 0.500 1
Hg1 Hg 0.250 0.250 0.250 1
```

Calculated values
Volume ... 397.8 Å³/cell
Magnetic moment ... 0.00 μB per cell

---

## x
Computed, not measured: a crystal of LaScHg2 relaxed with PBEsol at the meta-GGA SCAN level of DFT.

Structure (CIF):
```
data_LaScHg2
_chemical_formula_sum 'La1 Sc1 Hg2'
_cell_length_a 3.452
_cell_length_b 5.148
_cell_length_c 5.483
_cell_angle_alpha 90.00
_cell_angle_beta 90.00
_cell_angle_gamma 90.00
_space_group_name_H-M_alt 'P m m 2'
_space_group_IT_number 25
_space_group_name_Hall 'P 2 -2'
loop_
_atom_site_label
_atom_site_type_symbol
_atom_site_fract_x
_atom_site_fract_y
_atom_site_fract_z
_atom_site_occupancy
La1 La 0.000 0.000 0.000 1
Sc1 Sc 0.000 0.500 0.432 1
Hg1 Hg 0.500 0.000 0.497 1
Hg2 Hg 0.500 0.500 0.880 1
```

Calculated values
Volume ... 97.4 Å³/cell
Magnetic moment ... 0.35 μB per cell

---

## y
Computed, not measured: a crystal of LaScHg2 relaxed with PBEsol at the meta-GGA SCAN level of DFT.

Structure (CIF):
```
data_LaScHg2
_chemical_formula_sum 'La2 Sc2 Hg4'
_cell_length_a 3.604
_cell_length_b 5.116
_cell_length_c 10.657
_cell_angle_alpha 90.00
_cell_angle_beta 90.00
_cell_angle_gamma 90.00
_space_group_name_H-M_alt 'I m m 2'
_space_group_IT_number 44
_space_group_name_Hall 'I 2 -2'
loop_
_atom_site_label
_atom_site_type_symbol
_atom_site_fract_x
_atom_site_fract_y
_atom_site_fract_z
_atom_site_occupancy
La1 La 0.000 0.000 0.000 1
Sc1 Sc 0.000 0.500 0.773 1
Hg1 Hg 0.000 0.000 0.515 1
Hg2 Hg 0.000 0.500 0.239 1
```

Calculated values
Volume ... 196.5 Å³/cell
Magnetic moment ... 0.00 μB per cell

---

It comes down to w, which is 58 meV per atom more stable than the next structure.